1.
## Pm2Tm2Pb7 (GGA-PBE)

Data for crystalline Pm2Tm2Pb7 at its relaxed geometry.

Cell: 7.161 7.482 7.161 Å, 90.00 99.46 90.00°
Fractional positions:
Pm1 0.713 0.000 0.287
Pm2 0.287 0.000 0.713
Tm1 0.811 0.500 0.811
Tm2 0.189 0.500 0.189
Pb1 0.000 0.292 0.500
Pb2 0.500 0.708 0.000
Pb3 0.000 0.708 0.500
Pb4 0.500 0.292 0.000
Pb5 0.000 0.000 0.000
Pb6 0.500 0.700 0.500
Pb7 0.500 0.300 0.500

Crystal system: orthorhombic
M_tot in μB per cell: 0.00
Raw total energy in Ry/atom: -0.2987

2.
## Ta2CrAg (GGA-PBE)

Data for crystalline Ta2CrAg at its relaxed geometry.

Cell: 2.825 2.825 8.884 Å, 90.00 90.00 110.52°
Fractional positions:
Ag1 0.500 0.500 0.250
Cr1 0.500 0.500 0.750
Ta1 0.000 0.000 0.975
Ta2 0.000 0.000 0.525

Excess energy over the best structure of this formula in the dataset in meV per atom: 0
Crystal system: orthorhombic
M_tot in μB per cell: 0.00
Raw total energy in Ry/atom: -0.6494

Number 1: formation enthalpy at 0 K -0.028 eV/atom. Number 2: formation enthalpy at 0 K 0.209 eV/atom.